No. 1
A PBEsol-optimized structure of LiIn2W. Source: the Alexandria database, functional SCAN.

- Uncorrected energy: -34.460 eV per atom
- Energy relative to the lowest polymorph listed for this composition: 0 meV/atom
- ρ: 9.940 g/cm³
- V: 17.6 A^3/atom
- Energy relative to the elements: 0.253 eV/atom

Cell lengths 2.951, 3.745, 6.355 Å; angles 90.00, 90.00, 90.00 degrees
Fractional coordinates of all 4 atoms:
Li 0.000 0.000 0.000
In 0.500 0.500 0.240
In 0.500 0.500 0.760
W 0.000 0.000 0.500

***

No. 2
A PBEsol-optimized structure of Li2YIn. Source: the Alexandria database, functional SCAN.

- Uncorrected energy: -16.604 eV per atom
- ρ: 3.722 g/cm³
- V: 24.3 A^3/atom
- Energy relative to the elements: -0.102 eV/atom

Cell lengths 10.777, 10.777, 10.777 Å; angles 156.79, 156.79, 33.05 degrees
Fractional coordinates of all 8 atoms:
Li 0.051 0.625 0.926
Li 0.375 0.301 0.426
Li 0.699 0.125 0.074
Li 0.875 0.949 0.574
Y 0.250 0.750 0.500
Y 0.500 0.500 0.000
In 0.000 0.000 0.000
In 0.750 0.250 0.500

***

No. 3
A PBEsol-optimized structure of Li4YIn. Source: the Alexandria database, functional SCAN.

- Uncorrected energy: -11.986 eV per atom
- ρ: 3.380 g/cm³
- V: 19.0 A^3/atom
- Energy relative to the elements: -0.188 eV/atom

Cell lengths 5.438, 5.438, 5.438 Å; angles 60.00, 60.00, 60.00 degrees
Fractional coordinates of all 6 atoms:
Li 0.124 0.124 0.124
Li 0.124 0.124 0.628
Li 0.124 0.628 0.124
Li 0.628 0.124 0.124
Y 0.500 0.500 0.500
In 0.750 0.750 0.750

***

No. 4
A PBEsol-optimized structure of Li2YIn. Source: the Alexandria database, functional SCAN.

- Uncorrected energy: -16.849 eV per atom
- ρ: 4.180 g/cm³
- V: 21.6 A^3/atom
- Energy relative to the elements: -0.346 eV/atom

Cell lengths 4.963, 4.963, 4.963 Å; angles 60.00, 60.00, 60.00 degrees
Fractional coordinates of all 4 atoms:
Li 0.000 0.000 0.000
Li 0.250 0.250 0.250
Y 0.500 0.500 0.500
In 0.750 0.750 0.750

***

No. 5
A PBEsol-optimized structure of LiYIn. Source: the Alexandria database, functional SCAN.

- Uncorrected energy: -21.679 eV per atom
- ρ: 5.040 g/cm³
- V: 23.1 A^3/atom
- Energy relative to the elements: -0.473 eV/atom

Cell lengths 4.820, 4.820, 3.449 Å; angles 90.00, 90.00, 120.00 degrees
Fractional coordinates of all 3 atoms:
Li 0.000 0.000 0.000
Y 0.333 0.667 0.500
In 0.667 0.333 0.000

***

No. 6
A PBEsol-optimized structure of Li3ZnIn. Source: the Alexandria database, functional SCAN.

- Uncorrected energy: -10.752 eV per atom
- ρ: 3.309 g/cm³
- V: 20.2 A^3/atom
- Energy relative to the elements: 0.062 eV/atom

Cell lengths 4.655, 4.655, 4.655 Å; angles 90.00, 90.00, 90.00 degrees
Fractional coordinates of all 5 atoms:
Li 0.000 0.000 0.500
Li 0.000 0.500 0.000
Li 0.500 0.000 0.000
Zn 0.000 0.000 0.000
In 0.500 0.500 0.500

***

No. 7
A PBEsol-optimized structure of LiZn2In. Source: the Alexandria database, functional SCAN.

- Uncorrected energy: -15.824 eV per atom
- ρ: 6.360 g/cm³
- V: 16.5 A^3/atom
- Energy relative to the elements: -0.123 eV/atom

Cell lengths 4.955, 4.955, 4.955 Å; angles 131.96, 131.96, 70.29 degrees
Fractional coordinates of all 4 atoms:
Li 0.000 0.000 0.000
Zn 0.250 0.750 0.500
Zn 0.750 0.250 0.500
In 0.500 0.500 0.000

***

No. 8
A PBEsol-optimized structure of LiZn2In. Source: the Alexandria database, functional SCAN.

- Uncorrected energy: -15.831 eV per atom
- ρ: 6.401 g/cm³
- V: 16.4 A^3/atom
- Energy relative to the elements: -0.129 eV/atom

Cell lengths 4.004, 4.004, 4.087 Å; angles 90.00, 90.00, 90.00 degrees
Fractional coordinates of all 4 atoms:
Li 0.000 0.000 0.000
Zn 0.000 0.500 0.500
Zn 0.500 0.000 0.500
In 0.500 0.500 0.000

***

> Which value of ρ does entry 7 give?

6.360 g/cm³

***

> The lowest V belongs to which entry?

number 8

***

> Number 8 is which compound?

LiZn2In

***

> Which of these has the lowest energy relative to the elements?

LiYIn